Cu3AuC: optimized geometry, PBE.

The space group is Pm-3m (No. 221) and the conventional cell measures 3.933, 3.933 and 3.933 Å, with angles of 90.00, 90.00 and 90.00 degrees. Symmetry generates all atoms from Cu at (0.000, 0.000, 0.500), Au at (0.500, 0.500, 0.500) and C at (0.000, 0.000, 0.000).

For the volume, the calculation gives 61 Å³/f.u. The calculation puts the formation energy from the elements at 334 meV/atom. The value obtained for the energy relative to the lowest polymorph listed for this composition is 0 meV per atom.



Th4NiPtS2: optimized geometry, PBE.

The space group is P2/m (No. 10) and the conventional cell measures 7.041, 4.086 and 7.326 Å, with angles of 90.00, 108.56 and 90.00 degrees. Symmetry generates all atoms from Th at (0.242, 0.000, 0.240), Th at (0.245, 0.500, 0.755), Ni at (0.000, 0.500, 0.000), Pt at (0.500, 0.000, 0.000), S at (0.000, 0.000, 0.500) and S at (0.500, 0.500, 0.500).

For the volume, the calculation gives 200 Å³/f.u. The calculation puts the uncorrected formation energy at -1224 meV per atom.



Sc2NiRu: optimized geometry, PBE.

The space group is I-42d (No. 122) and the conventional cell measures 6.886, 6.886 and 5.798 Å, with angles of 90.00, 90.00 and 90.00 degrees. Symmetry generates all atoms from Sc at (0.240, 0.250, 0.125), Ni at (0.000, 0.000, 0.000) and Ru at (0.000, 0.000, 0.500).

For the volume, the calculation gives 69 Å³/f.u. The calculation puts the formation energy from the elements at -108 meV/atom.



Zr3TiAu: optimized geometry, PBE.

The space group is Pm-3m (No. 221) and the conventional cell measures 5.168, 5.168 and 5.168 Å, with angles of 90.00, 90.00 and 90.00 degrees. Symmetry generates all atoms from Zr at (0.000, 0.000, 0.500), Ti at (0.500, 0.500, 0.500) and Au at (0.000, 0.000, 0.000).

For the volume, the calculation gives 138 Å³/f.u. The calculation puts the formation energy from the elements at 812 meV/atom. The value obtained for the energy relative to the lowest polymorph listed for this composition is 109 meV per atom.



Pm7Tl2Rh2: optimized geometry, PBE.

The space group is Cmmm (No. 65) and the conventional cell measures 8.272, 11.317 and 7.279 Å, with angles of 90.00, 90.00 and 90.00 degrees. Symmetry generates all atoms from Pm at (0.000, 0.000, 0.000), Pm at (0.000, 0.500, 0.242), Pm at (0.250, 0.250, 0.250), Tl at (0.179, 0.000, 0.500) and Rh at (0.000, 0.290, 0.000).

For the volume, the calculation gives 341 Å³/f.u. The calculation puts the formation energy from the elements at -348 meV/atom. The value obtained for the energy relative to the lowest polymorph listed for this composition is 18 meV per atom.



CsNbCuO4: optimized geometry, PBE.

The space group is Imma (No. 74) and the conventional cell measures 6.214, 6.258 and 11.776 Å, with angles of 90.00, 90.00 and 90.00 degrees. Symmetry generates all atoms from Cs at (0.000, 0.250, 0.166), Nb at (0.000, 0.000, 0.500), Cu at (0.250, 0.250, 0.750), O at (0.000, 0.059, 0.675) and O at (0.205, 0.250, 0.493).

For the volume, the calculation gives 114 Å³/f.u. The calculation puts the uncorrected formation energy at -1526 meV per atom.